Entry from Alexandria: crystalline Ag3WBr2F6 at its relaxed geometry (GGA+U).

abc: 4.9781 7.4282 8.0084
angles: 117.63 96.61 90.00
Site moments in Bohr magnetons follow the coordinates.
Fractional positions:
1 F 0.7429 0.8788 0.1202  0.01
2 F 0.6889 0.8867 0.7735  0.02
3 F 0.2571 0.7586 0.8798  0.01
4 F 0.7429 0.2414 0.1202  0.01
5 F 0.2571 0.1212 0.8798  0.01
6 F 0.3111 0.1133 0.2265  0.02
7 Ag 0.5000 0.5000 0.5000  -0.01
8 Ag 0.0000 0.5000 0.0000  0.00
9 Ag 0.5000 0.0000 0.5000  -0.01
10 Br 0.8315 0.3178 0.6357  0.00
11 Br 0.1685 0.6822 0.3643  0.00
12 W 0.5000 0.0000 0.0000  0.98

* calculated volume: 21.68 A^3/atom
* electronic total energy: -0.307 Ry/atom